The following is a PBE calculation of Ca2AcReO8 after structural relaxation, from Alexandria.

a b c (Å): 4.8757 4.9388 7.2359
angles (deg): 90.23 90.01 90.33
Space group P-1 (No. 2)
One atom of each set of equivalent atoms:
Ca1 0.0006 0.0017 0.2697
Ac1 0.5000 0.5000 0.0000
Re1 0.5000 0.5000 0.5000
O1 0.0268 0.2584 0.0000
O2 0.1546 0.3147 0.5015
O3 0.3848 0.7338 0.3092
O4 0.3881 0.7354 0.6924

Summary:
- Raw formation energy: -2.18 eV per atom
- Crystal system: triclinic


The following is a PBE calculation of UIBr2 after structural relaxation, from Alexandria.

a b c (Å): 6.2315 4.3317 7.4218
angles (deg): 90.00 114.44 90.00
Space group P2/m (No. 10)
One atom of each set of equivalent atoms:
U1 0.0000 0.0000 0.0000
I1 0.5000 0.0000 0.0000
Br1 0.1449 0.5000 0.2879

Summary:
- Raw formation energy: -1.07 eV per atom
- Crystal system: monoclinic
- Offset from the most stable computed form: 18 kJ/mol of formula units